Model i:
Here is a relaxed structure of LiTiTeN2 from Alexandria via LeMat-Bulk. Energies are from GGA-PBE.

Cell and atoms, written as POSCAR:
```
LiTiTeN2
1.0
-1.3894 -3.3644 1.2856
3.2861 -0.6201 1.9286
-1.7958 2.1786 3.7605
N Li Ti Te
2 1 1 1
direct
0.5000 0.0000 0.0000
0.0000 0.5000 0.0000
0.0000 0.0000 0.0000
0.5000 0.5000 0.5000
0.0000 0.0000 0.5000
```

Computed properties:
Size of the total moment ... 0.00 μB per cell


Model ii:
Here is a relaxed structure of LiTiTeN2 from Alexandria via LeMat-Bulk. Energies are from GGA-PBE.

Cell and atoms, written as POSCAR:
```
LiTiTeN2
1.0
4.2573 0.0000 0.0000
0.0000 5.1807 0.0000
0.0000 0.0000 4.2573
N Ti Li Te
2 1 1 1
direct
0.5000 0.0000 0.0000
0.0000 0.0000 0.5000
0.0000 0.5000 0.0000
0.5000 0.5000 0.5000
0.0000 0.0000 0.0000
```

Computed properties:
Size of the total moment ... 1.58 μB per cell


Model iii:
Here is a relaxed structure of LiTiTeN2 from Alexandria via LeMat-Bulk. Energies are from GGA-PBE.

Cell and atoms, written as POSCAR:
```
LiTiTeN2
1.0
3.9091 0.0000 0.0000
0.0000 3.9091 0.0000
0.0000 0.0000 5.8293
Ti Li N Te
1 1 2 1
direct
0.0000 0.0000 0.0000
0.5000 0.5000 0.5000
0.5000 0.0000 0.0000
0.0000 0.5000 0.0000
0.0000 0.0000 0.5000
```

Computed properties:
Size of the total moment ... 0.24 μB per cell


model iii (1178 meV/atom below the next structure)